Entry 1:
First-principles (PBE) data for Dy14ErTm after structural relaxation, as listed in Alexandria.

Summary:
- Space group: P4/mmm (123)

abc: 7.0599 7.0599 9.9713
angles: 90.00 90.00 90.00
Closest atoms and distances in Å follow each position.
Sites, in units of the cell vectors:
Dy: 0.0000 0.0000 0.0000  12 Dy 3.53
Dy: 0.0000 0.5000 0.0000  12 Dy 3.53
Dy: 0.0000 0.5000 0.5000  8 Dy 3.52, 2 Tm 3.53, 2 Er 3.53
Dy: 0.2500 0.2500 0.2508  1 Tm 3.52, 10 Dy 3.52-3.53, 1 Er 3.52
Dy: 0.2500 0.2500 0.7492  1 Tm 3.52, 10 Dy 3.52-3.53, 1 Er 3.52
Dy: 0.2500 0.7500 0.2508  1 Tm 3.52, 10 Dy 3.52-3.53, 1 Er 3.52
Dy: 0.2500 0.7500 0.7492  1 Tm 3.52, 10 Dy 3.52-3.53, 1 Er 3.52
Dy: 0.5000 0.0000 0.0000  12 Dy 3.53
Dy: 0.5000 0.0000 0.5000  8 Dy 3.52, 2 Tm 3.53, 2 Er 3.53
Dy: 0.5000 0.5000 0.0000  12 Dy 3.53
Dy: 0.7500 0.2500 0.2508  1 Tm 3.52, 10 Dy 3.52-3.53, 1 Er 3.52
Dy: 0.7500 0.2500 0.7492  1 Tm 3.52, 10 Dy 3.52-3.53, 1 Er 3.52
Dy: 0.7500 0.7500 0.2508  1 Tm 3.52, 10 Dy 3.52-3.53, 1 Er 3.52
Dy: 0.7500 0.7500 0.7492  1 Tm 3.52, 10 Dy 3.52-3.53, 1 Er 3.52
Er: 0.0000 0.0000 0.5000  12 Dy 3.52-3.53
Tm: 0.5000 0.5000 0.5000  12 Dy 3.52-3.53

Entry 2:
First-principles (PBE) data for Dy2ErTm after structural relaxation, as listed in Alexandria.

Summary:
- Space group: R-3m (166)

abc: 3.5136 3.5136 34.3069
angles: 90.00 90.00 120.00
Closest atoms and distances in Å follow each position.
Sites, in units of the cell vectors:
Dy: 0.0000 0.0000 0.2502  3 Tm 3.50, 3 Er 3.51, 6 Dy 3.51
Dy: 0.0000 0.0000 0.7498  3 Tm 3.50, 3 Er 3.51, 6 Dy 3.51
Dy: 0.3333 0.6667 0.4164  3 Tm 3.50, 3 Er 3.51, 6 Dy 3.51
Dy: 0.3333 0.6667 0.9169  3 Tm 3.50, 3 Er 3.51, 6 Dy 3.51
Dy: 0.6667 0.3333 0.0831  3 Tm 3.50, 3 Er 3.51, 6 Dy 3.51
Dy: 0.6667 0.3333 0.5836  3 Tm 3.50, 3 Er 3.51, 6 Dy 3.51
Er: 0.0000 0.0000 0.5000  6 Dy 3.51, 6 Er 3.51
Er: 0.3333 0.6667 0.1667  6 Dy 3.51, 6 Er 3.51
Er: 0.6667 0.3333 0.8333  6 Dy 3.51, 6 Er 3.51
Tm: 0.0000 0.0000 0.0000  6 Dy 3.50, 6 Tm 3.51
Tm: 0.3333 0.6667 0.6667  6 Dy 3.50, 6 Tm 3.51
Tm: 0.6667 0.3333 0.3333  6 Dy 3.50, 6 Tm 3.51

Entry 3:
First-principles (PBE) data for DyEr2Tm7 after structural relaxation, as listed in Alexandria.

Summary:
- Space group: P-1 (2)

abc: 6.0411 6.9714 7.8099
angles: 77.02 75.00 73.30
Closest atoms and distances in Å follow each position.
Sites, in units of the cell vectors:
Dy: 0.0000 0.0000 0.0000  10 Tm 3.49, 2 Er 3.49
Er: 0.2000 0.3000 0.6002  10 Tm 3.48-3.49, 1 Dy 3.49, 1 Er 3.49
Er: 0.8000 0.7000 0.3998  10 Tm 3.48-3.49, 1 Dy 3.49, 1 Er 3.49
Tm: 0.0000 0.5000 0.0000  2 Dy 3.49, 8 Tm 3.49, 2 Er 3.49
Tm: 0.2003 0.7998 0.5999  4 Er 3.48-3.49, 7 Tm 3.49, 1 Dy 3.49
Tm: 0.3998 0.1002 0.2001  8 Tm 3.48-3.49, 2 Dy 3.49, 2 Er 3.49
Tm: 0.4002 0.5997 0.2003  8 Tm 3.48-3.49, 3 Er 3.49, 1 Dy 3.49
Tm: 0.5998 0.4003 0.7997  8 Tm 3.48-3.49, 3 Er 3.49, 1 Dy 3.49
Tm: 0.6002 0.8998 0.7999  8 Tm 3.48-3.49, 2 Dy 3.49, 2 Er 3.49
Tm: 0.7997 0.2002 0.4001  4 Er 3.48-3.49, 7 Tm 3.49, 1 Dy 3.49

Entry 4:
First-principles (PBE) data for Dy2Er5Tm after structural relaxation, as listed in Alexandria.

Summary:
- Space group: C2/m (12)

abc: 8.5449 8.5449 11.2678
angles: 90.03 90.03 37.89
Closest atoms and distances in Å follow each position.
Sites, in units of the cell vectors:
Dy: 0.2126 0.2126 0.0809  5 Er 3.43-3.70, 3 Tm 3.50-3.73, 3 Dy 3.53-3.81
Dy: 0.2128 0.2128 0.4189  5 Er 3.44-3.70, 3 Tm 3.50-3.74, 3 Dy 3.53-3.81
Dy: 0.7872 0.7872 0.5811  5 Er 3.44-3.70, 3 Tm 3.50-3.74, 3 Dy 3.53-3.81
Dy: 0.7874 0.7874 0.9191  5 Er 3.43-3.70, 3 Tm 3.50-3.73, 3 Dy 3.53-3.81
Er: 0.0453 0.0453 0.8877  2 Er 2.92-3.11
Er: 0.0461 0.0461 0.6116  2 Er 2.92-3.11
Er: 0.3942 0.3942 0.2501  7 Er 3.33-3.72, 2 Tm 3.40, 2 Dy 3.50
Er: 0.4125 0.4125 0.9211  7 Er 3.34-3.72, 3 Dy 3.43-3.70, 1 Tm 3.55
Er: 0.4127 0.4127 0.5796  7 Er 3.35-3.73, 3 Dy 3.44-3.70, 1 Tm 3.56
Er: 0.5873 0.5873 0.4204  7 Er 3.35-3.73, 3 Dy 3.44-3.70, 1 Tm 3.56
Er: 0.5875 0.5875 0.0789  7 Er 3.34-3.72, 3 Dy 3.43-3.70, 1 Tm 3.55
Er: 0.6058 0.6058 0.7499  7 Er 3.33-3.72, 2 Tm 3.40, 2 Dy 3.50
Er: 0.9539 0.9539 0.3884  2 Er 2.92-3.11
Er: 0.9547 0.9547 0.1123  2 Er 2.92-3.11
Tm: 0.2276 0.2276 0.7502  6 Er 3.32-3.56, 4 Dy 3.50
Tm: 0.7724 0.7724 0.2498  6 Er 3.32-3.56, 4 Dy 3.50

Entry 5:
First-principles (PBE) data for Dy2Er5Tm3 after structural relaxation, as listed in Alexandria.

Summary:
- Space group: C2/c (15)

abc: 9.3421 9.3421 9.3761
angles: 108.41 108.41 111.40
Closest atoms and distances in Å follow each position.
Sites, in units of the cell vectors:
Dy: 0.0167 0.2676 0.0467  3 Tm 3.14-3.40, 5 Er 3.24-3.50
Dy: 0.2676 0.0167 0.5467  3 Tm 3.14-3.40, 5 Er 3.24-3.50
Dy: 0.7324 0.9833 0.4533  3 Tm 3.14-3.40, 5 Er 3.24-3.50
Dy: 0.9833 0.7324 0.9533  3 Tm 3.14-3.40, 5 Er 3.24-3.50
Er: 0.1459 0.3840 0.7772  3 Tm 3.42-3.59, 2 Dy 3.42-3.61, 3 Er 3.47-3.56
Er: 0.2306 0.7694 0.7500  5 Tm 3.19-3.45, 2 Dy 3.42, 2 Er 3.51
Er: 0.2732 0.7268 0.2500  1 Er 3.08, 2 Dy 3.24
Er: 0.3840 0.1459 0.2772  3 Tm 3.42-3.59, 2 Dy 3.42-3.61, 3 Er 3.47-3.56
Er: 0.4726 0.5274 0.2500  1 Er 3.08, 4 Tm 3.26-3.44
Er: 0.5274 0.4726 0.7500  1 Er 3.08, 4 Tm 3.26-3.44
Er: 0.6160 0.8541 0.7228  3 Tm 3.42-3.59, 2 Dy 3.42-3.61, 3 Er 3.47-3.56
Er: 0.7268 0.2732 0.7500  1 Er 3.08, 2 Dy 3.24
Er: 0.7694 0.2306 0.2500  5 Tm 3.19-3.45, 2 Dy 3.42, 2 Er 3.51
Er: 0.8541 0.6160 0.2228  3 Tm 3.42-3.59, 2 Dy 3.42-3.61, 3 Er 3.47-3.56
Tm: 0.0239 0.9761 0.7500  3 Er 3.19-3.45, 4 Dy 3.26-3.40, 2 Tm 3.36
Tm: 0.2228 0.4651 0.4509  1 Dy 3.14, 5 Er 3.26-3.45, 1 Tm 3.36
Tm: 0.4651 0.2228 0.9509  1 Dy 3.14, 5 Er 3.26-3.45, 1 Tm 3.36
Tm: 0.5349 0.7772 0.0491  1 Dy 3.14, 5 Er 3.26-3.45, 1 Tm 3.36
Tm: 0.7772 0.5349 0.5491  1 Dy 3.14, 5 Er 3.26-3.45, 1 Tm 3.36
Tm: 0.9761 0.0239 0.2500  3 Er 3.19-3.45, 4 Dy 3.26-3.40, 2 Tm 3.36

Entry 6:
First-principles (PBE) data for Dy2Er4Tm3 after structural relaxation, as listed in Alexandria.

Summary:
- Space group: C2/c (15)

abc: 9.7773 9.7773 6.0694
angles: 94.67 94.67 71.61
Closest atoms and distances in Å follow each position.
Sites, in units of the cell vectors:
Dy: 0.0232 0.7358 0.6790  4 Er 3.22-3.58, 4 Tm 3.35-3.42
Dy: 0.2642 0.9768 0.8210  4 Er 3.22-3.58, 4 Tm 3.35-3.42
Dy: 0.7358 0.0232 0.1790  4 Er 3.22-3.58, 4 Tm 3.35-3.42
Dy: 0.9768 0.2642 0.3210  4 Er 3.22-3.58, 4 Tm 3.35-3.42
Er: 0.0719 0.3558 0.8470  1 Er 3.23, 4 Tm 3.33-3.44, 3 Dy 3.37-3.58
Er: 0.3108 0.5959 0.9867  1 Dy 3.22, 4 Tm 3.34-3.43, 3 Er 3.36-3.58
Er: 0.3558 0.0719 0.3470  1 Er 3.23, 4 Tm 3.33-3.44, 3 Dy 3.37-3.58
Er: 0.4041 0.6892 0.5133  1 Dy 3.22, 4 Tm 3.34-3.43, 3 Er 3.36-3.58
Er: 0.5959 0.3108 0.4867  1 Dy 3.22, 4 Tm 3.34-3.43, 3 Er 3.36-3.58
Er: 0.6442 0.9281 0.6530  1 Er 3.23, 4 Tm 3.33-3.44, 3 Dy 3.37-3.58
Er: 0.6892 0.4041 0.0133  1 Dy 3.22, 4 Tm 3.34-3.43, 3 Er 3.36-3.58
Er: 0.9281 0.6442 0.1530  1 Er 3.23, 4 Tm 3.33-3.44, 3 Dy 3.37-3.58
Tm: 0.0967 0.9033 0.2500  4 Dy 3.35-3.42, 4 Er 3.42-3.43
Tm: 0.2369 0.4306 0.4137  6 Er 3.33-3.44, 2 Dy 3.41-3.42
Tm: 0.4306 0.2369 0.9137  6 Er 3.33-3.44, 2 Dy 3.41-3.42
Tm: 0.5694 0.7631 0.0863  6 Er 3.33-3.44, 2 Dy 3.41-3.42
Tm: 0.7631 0.5694 0.5863  6 Er 3.33-3.44, 2 Dy 3.41-3.42
Tm: 0.9033 0.0967 0.7500  4 Dy 3.35-3.42, 4 Er 3.42-3.43

Entry 7:
First-principles (PBE) data for Dy12ErTm7 after structural relaxation, as listed in Alexandria.

Summary:
- Space group: R-3 (148)

abc: 10.8653 10.8653 10.8653
angles: 116.01 116.01 116.01
Closest atoms and distances in Å follow each position.
Sites, in units of the cell vectors:
Dy: 0.0649 0.2753 0.4841  4 Dy 3.21-3.41, 4 Tm 3.38-3.56
Dy: 0.2094 0.7478 0.2727  2 Tm 3.17-3.25, 5 Dy 3.21-3.42
Dy: 0.2522 0.7273 0.7906  2 Tm 3.17-3.25, 5 Dy 3.21-3.42
Dy: 0.2727 0.2094 0.7478  2 Tm 3.17-3.25, 5 Dy 3.21-3.42
Dy: 0.2753 0.4841 0.0649  4 Dy 3.21-3.41, 4 Tm 3.38-3.56
Dy: 0.4841 0.0649 0.2753  4 Dy 3.21-3.41, 4 Tm 3.38-3.56
Dy: 0.5159 0.9351 0.7247  4 Dy 3.21-3.41, 4 Tm 3.38-3.56
Dy: 0.7247 0.5159 0.9351  4 Dy 3.21-3.41, 4 Tm 3.38-3.56
Dy: 0.7273 0.7906 0.2522  2 Tm 3.17-3.25, 5 Dy 3.21-3.42
Dy: 0.7478 0.2727 0.2094  2 Tm 3.17-3.25, 5 Dy 3.21-3.42
Dy: 0.7906 0.2522 0.7273  2 Tm 3.17-3.25, 5 Dy 3.21-3.42
Dy: 0.9351 0.7247 0.5159  4 Dy 3.21-3.41, 4 Tm 3.38-3.56
Er: 0.0000 0.0000 0.0000  8 Tm 3.17-3.30
Tm: 0.0776 0.3805 0.2198  1 Er 3.17, 5 Dy 3.17-3.48, 1 Tm 3.33
Tm: 0.2198 0.0776 0.3805  1 Er 3.17, 5 Dy 3.17-3.48, 1 Tm 3.33
Tm: 0.3805 0.2198 0.0776  1 Er 3.17, 5 Dy 3.17-3.48, 1 Tm 3.33
Tm: 0.5000 0.5000 0.5000  2 Er 3.30, 6 Tm 3.33
Tm: 0.6195 0.7802 0.9224  1 Er 3.17, 5 Dy 3.17-3.48, 1 Tm 3.33
Tm: 0.7802 0.9224 0.6195  1 Er 3.17, 5 Dy 3.17-3.48, 1 Tm 3.33
Tm: 0.9224 0.6195 0.7802  1 Er 3.17, 5 Dy 3.17-3.48, 1 Tm 3.33

Entry 8:
First-principles (PBE) data for Dy3Er2Tm2 after structural relaxation, as listed in Alexandria.

Summary:
- Space group: C2/m (12)

abc: 11.0839 4.9607 7.8462
angles: 90.00 98.17 90.00
Closest atoms and distances in Å follow each position.
Sites, in units of the cell vectors:
Dy: 0.0000 0.0000 0.0000  6 Er 3.50-3.51, 2 Dy 3.51, 4 Tm 3.51
Dy: 0.1427 0.0000 0.4286  4 Dy 3.50-3.51, 5 Tm 3.51, 3 Er 3.51
Dy: 0.3573 0.5000 0.5714  4 Dy 3.50-3.51, 5 Tm 3.51, 3 Er 3.51
Dy: 0.5000 0.5000 0.0000  6 Er 3.50-3.51, 2 Dy 3.51, 4 Tm 3.51
Dy: 0.6427 0.5000 0.4286  4 Dy 3.50-3.51, 5 Tm 3.51, 3 Er 3.51
Dy: 0.8573 0.0000 0.5714  4 Dy 3.50-3.51, 5 Tm 3.51, 3 Er 3.51
Er: 0.2144 0.5000 0.1426  6 Dy 3.50-3.51, 4 Tm 3.51, 2 Er 3.51
Er: 0.2856 0.0000 0.8574  6 Dy 3.50-3.51, 4 Tm 3.51, 2 Er 3.51
Er: 0.7144 0.0000 0.1426  6 Dy 3.50-3.51, 4 Tm 3.51, 2 Er 3.51
Er: 0.7856 0.5000 0.8574  6 Dy 3.50-3.51, 4 Tm 3.51, 2 Er 3.51
Tm: 0.0716 0.5000 0.7143  4 Er 3.51, 7 Dy 3.51, 1 Tm 3.51
Tm: 0.4284 0.0000 0.2857  4 Er 3.51, 7 Dy 3.51, 1 Tm 3.51
Tm: 0.5716 0.0000 0.7143  4 Er 3.51, 7 Dy 3.51, 1 Tm 3.51
Tm: 0.9284 0.5000 0.2857  4 Er 3.51, 7 Dy 3.51, 1 Tm 3.51

| no. | energy relative to the elements (eV per atom) | N(E_F) (states/eV/atom) |
| --- | --- | --- |
| 1 | 0.02 | 1.146 |
| 2 | 0.02 | 1.418 |
| 3 | 0.03 | 1.296 |
| 4 | 0.14 | 1.667 |
| 5 | 0.20 | 1.773 |
| 6 | 0.10 | 1.443 |
| 7 | 0.33 | 1.337 |
| 8 | 0.02 | 1.349 |